## RbYTl2I6 (PBE-GGA)

Data for crystalline RbYTl2I6 at its relaxed geometry.

a b c (Å): 8.7043 8.7043 22.9354
angles (deg): 90.00 90.00 120.00
Space group R3 (No. 146, hexagonal axes)
One atom of each set of equivalent atoms:
Rb 0.0000 0.0000 0.0000 [3 per cell]
Y 0.0000 0.0000 0.5108 [3 per cell]
Tl 0.0000 0.0000 0.1936 [3 per cell]
Tl 0.0000 0.0000 0.7064 [3 per cell]
I 0.0558 0.3625 0.1042 [9 per cell]
I 0.0598 0.6745 0.2602 [9 per cell]

## Properties
**Crystal system**: trigonal
**Magnetic moment**: 0.00 Bohr magnetons per cell
**Uncorrected energy**: -3.27 eV/atom
**E_form (uncorrected)**: -1.126 eV per atom